w:
This record from the Alexandria database describes a relaxed structure of PmDyScIn. The functional is GGA-PBE.

The value obtained for the size of the total moment is 6.5 Bohr magnetons per cell.

It has space group F-43m (No. 216), with a = 7.5804 Å, b = 7.5804 Å, c = 7.5804 Å, α = 90.00°, β = 90.00° and γ = 90.00°. The distinct sites, in fractional coordinates, are Pm at (0.0000, 0.0000, 0.0000), Dy at (0.2500, 0.2500, 0.2500), Sc at (0.2500, 0.2500, 0.7500) and In at (0.0000, 0.0000, 0.5000).

***

x:
This record from the Alexandria database describes a relaxed structure of PmDyScIn. The functional is GGA-PBE.

The value obtained for the size of the total moment is 4.5 Bohr magnetons per cell.

It has space group F-43m (No. 216), with a = 7.6273 Å, b = 7.6273 Å, c = 7.6273 Å, α = 90.00°, β = 90.00° and γ = 90.00°. The distinct sites, in fractional coordinates, are Pm at (0.0000, 0.0000, 0.0000), Dy at (0.0000, 0.0000, 0.5000), Sc at (0.2500, 0.2500, 0.7500) and In at (0.2500, 0.2500, 0.2500).

***

Which of them is the most stable? Correct choice: x.

***

w:
This record from the Alexandria database describes a relaxed structure of PmDyTmIn. The functional is GGA-PBE.

The value obtained for the size of the total moment is 0.0 Bohr magnetons per cell.

It has space group Pmmm (No. 47), with a = 4.8360 Å, b = 4.8673 Å, c = 4.8851 Å, α = 90.00°, β = 90.00° and γ = 90.00°. The distinct sites, in fractional coordinates, are Pm at (0.0000, 0.0000, 0.0000), Dy at (0.5000, 0.5000, 0.0000), Tm at (0.5000, 0.0000, 0.5000) and In at (0.0000, 0.5000, 0.5000).

***

x:
This record from the Alexandria database describes a relaxed structure of PmDyTmIn. The functional is GGA-PBE.

The value obtained for the size of the total moment is 2.7 Bohr magnetons per cell.

It has space group F-43m (No. 216), with a = 7.7363 Å, b = 7.7363 Å, c = 7.7363 Å, α = 90.00°, β = 90.00° and γ = 90.00°. The distinct sites, in fractional coordinates, are Pm at (0.0000, 0.0000, 0.0000), Dy at (0.0000, 0.0000, 0.5000), Tm at (0.2500, 0.2500, 0.7500) and In at (0.2500, 0.2500, 0.2500).

***

Which of them is the most stable? Correct choice: w.